No. 1
Density functional theory data (GGA-PBE) for an optimized crystal structure of TaMnBRu2.

Values from the calculation:
- symmetry = P4/mmm (123)
- final energy (eV per formula unit) = -47.44

Cell: 4.0598 4.0598 3.9341 Å, 90.00 90.00 90.00°
With the nearest neighbours (Å) after each atom.
Sites, in units of the cell vectors:
Ru: 0.0000 0.5000 0.0000  2 B 2.03
B: 0.0000 0.0000 0.0000  2 Mn 1.97, 4 Ru 2.03
Ta: 0.5000 0.5000 0.5000  8 Ru 2.83, 4 Mn 2.87
Mn: 0.0000 0.0000 0.5000  2 B 1.97
Ru: 0.5000 0.0000 0.0000  2 B 2.03

No. 2
Density functional theory data (GGA-PBE) for an optimized crystal structure of MnTc2BRu.

Values from the calculation:
- symmetry = P4/mmm (123)
- final energy (eV per formula unit) = -34.49

Cell: 4.6145 4.6971 4.6145 Å, 90.00 90.00 90.00°
With the nearest neighbours (Å) after each atom.
Sites, in units of the cell vectors:
Mn: 0.0000 0.5000 0.0000  2 Ru 2.35
Ru: 0.0000 0.0000 0.0000  4 Tc 2.31, 2 Mn 2.35
B: 0.5000 0.5000 0.5000  4 Mn 3.26, 8 Tc 3.29
Tc: 0.5000 0.0000 0.0000  2 Ru 2.31
Tc: 0.0000 0.0000 0.5000  2 Ru 2.31

No. 3
Density functional theory data (GGA-PBE) for an optimized crystal structure of Tm2MnB2Ru5.

Values from the calculation:
- symmetry = P4/mbm (127)
- final energy (eV per formula unit) = -82.05

Cell: 3.0844 9.4900 9.4900 Å, 90.00 90.00 90.00°
With the nearest neighbours (Å) after each atom.
Sites, in units of the cell vectors:
B: 0.0000 0.6233 0.8767  6 Ru 2.24-2.26
Ru: 0.5000 0.0700 0.7854  2 B 2.24
Ru: 0.5000 0.7854 0.9300  2 B 2.24
Ru: 0.5000 0.9300 0.2146  2 B 2.24
B: 0.0000 0.3767 0.1233  6 Ru 2.24-2.26
B: 0.0000 0.8767 0.3767  6 Ru 2.24-2.26
Ru: 0.5000 0.5000 0.0000  4 B 2.26
Mn: 0.0000 0.0000 0.0000  8 Ru 2.64
Ru: 0.5000 0.7146 0.4300  2 B 2.24
Ru: 0.5000 0.4300 0.2854  2 B 2.24
Ru: 0.5000 0.2854 0.5700  2 B 2.24
B: 0.0000 0.1233 0.6233  6 Ru 2.24-2.26
Tm: 0.0000 0.6756 0.1756  3 B 2.70-2.88, 10 Ru 2.82-2.98
Tm: 0.0000 0.8244 0.6756  3 B 2.70-2.88, 10 Ru 2.82-2.98
Tm: 0.0000 0.1756 0.3244  3 B 2.70-2.88, 10 Ru 2.82-2.98
Mn: 0.0000 0.5000 0.5000  8 Ru 2.64
Ru: 0.5000 0.0000 0.5000  4 B 2.26
Ru: 0.5000 0.5700 0.7146  2 B 2.24
Ru: 0.5000 0.2146 0.0700  2 B 2.24
Tm: 0.0000 0.3244 0.8244  3 B 2.70-2.88, 10 Ru 2.82-2.98